Record 1
{"formula": "SrRuCl", "functional": "PBE-GGA", "state": "optimized geometry", "lattice_angstrom": [[-2.544, -5.931, 2.627], [0.115, -5.276, 4.552], [-2.027, 1.017, 2.463]], "species": ["Cl", "Ru", "Sr"], "fractional_positions": [[0.017, 0.017, 0.983], [0.329, 0.329, 0.671], [0.655, 0.655, 0.345]], "mass_density_g_cm3": 5.067, "raw_formation_energy_kj_per_mol_atoms": 5.8, "spacegroup": "I4mm, No. 107", "de_polymorph_mev_per_atom": 132}

Record 2
{"formula": "Tb12Co5Sb", "functional": "PBE-GGA", "state": "optimized geometry", "lattice_angstrom": [[7.778, 0.014, -2.967], [-4.046, 6.851, -2.448], [-0.004, -0.014, 8.325]], "species": ["Tb", "Co", "Tb", "Tb", "Co", "Tb", "Co", "Co", "Tb", "Tb", "Tb", "Sb", "Tb", "Co", "Tb", "Tb", "Tb", "Tb"], "fractional_positions": [[0.477, 0.185, 0.292], [0.622, 0.622, 0.000], [0.807, 0.012, 0.205], [0.893, 0.185, 0.708], [0.000, 0.000, 0.000], [0.307, 0.687, 0.994], [0.500, 0.112, 0.612], [0.500, 0.888, 0.388], [0.807, 0.602, 0.795], [0.193, 0.398, 0.205], [0.193, 0.988, 0.795], [0.000, 0.500, 0.500], [0.107, 0.815, 0.292], [0.378, 0.378, 0.000], [0.523, 0.815, 0.708], [0.693, 0.313, 0.006], [0.307, 0.313, 0.620], [0.693, 0.687, 0.380]], "mass_density_g_cm3": 8.698, "raw_formation_energy_kj_per_mol_atoms": -28.1, "spacegroup": "Immm, No. 71"}

Record 3
{"formula": "SrScTlIn", "functional": "PBE-GGA", "state": "optimized geometry", "lattice_angstrom": [[5.421, 0.000, 0.000], [2.711, 4.695, 0.000], [2.711, 1.565, 4.426]], "species": ["Sc", "Sr", "In", "Tl"], "fractional_positions": [[0.000, 0.000, 0.000], [0.500, 0.500, 0.500], [0.750, 0.750, 0.750], [0.250, 0.250, 0.250]], "mass_density_g_cm3": 6.659, "delta_e_f_ev_per_atom": -0.28, "spacegroup": "F-43m, No. 216"}